First-principles (PBE-GGA) data for crystalline SbPb2S at its relaxed geometry, as listed in Alexandria via LeMat-Bulk.

polymorph energy (0 for the lowest one) = 0.00 eV/f.u.
calculated volume = 356 Å³ per cell
spin magnetization = 0.000 μB/atom
ΔE_f (raw) = -0.1306 eV per atom
mass density = 7946 kg/m3

abc: 4.230 4.230 22.991
angles: 90.00 90.00 120.00
Element x y z (fractional)
1 Sb 0.000 0.000 0.000
2 Sb 0.333 0.667 0.667
3 Sb 0.667 0.333 0.333
4 Pb 0.000 0.000 0.242
5 Pb 0.000 0.000 0.758
6 Pb 0.333 0.667 0.424
7 Pb 0.333 0.667 0.909
8 Pb 0.667 0.333 0.091
9 Pb 0.667 0.333 0.576
10 S 0.000 0.000 0.500
11 S 0.333 0.667 0.167
12 S 0.667 0.333 0.833

First-principles (PBE-GGA) data for crystalline Sb8Pb3S15 at its relaxed geometry, as listed in Alexandria via LeMat-Bulk.

calculated volume = 1438 Å³ per cell
spin magnetization = 0.000 μB/atom
ΔE_f (raw) = -0.3258 eV per atom
mass density = 4795 kg/m3

abc: 8.973 8.973 18.155
angles: 94.41 94.41 81.56
Element x y z (fractional)
1 Sb 0.039 0.140 0.427
2 Sb 0.119 0.604 0.934
3 Sb 0.140 0.039 0.927
4 Sb 0.222 0.589 0.158
5 Sb 0.236 0.504 0.500
6 Sb 0.396 0.881 0.566
7 Sb 0.411 0.778 0.342
8 Sb 0.496 0.764 0.000
9 Sb 0.504 0.236 0.000
10 Sb 0.589 0.222 0.658
11 Sb 0.604 0.119 0.434
12 Sb 0.764 0.496 0.500
13 Sb 0.778 0.411 0.842
14 Sb 0.860 0.961 0.073
15 Sb 0.881 0.396 0.066
16 Sb 0.961 0.860 0.573
17 Pb 0.119 0.260 0.663
18 Pb 0.260 0.119 0.163
19 Pb 0.376 0.624 0.750
20 Pb 0.624 0.376 0.250
21 Pb 0.740 0.881 0.837
22 Pb 0.881 0.740 0.337
23 S 0.049 0.571 0.597
24 S 0.056 0.403 0.836
25 S 0.067 0.804 0.842
26 S 0.111 0.829 0.463
27 S 0.171 0.889 0.037
28 S 0.183 0.817 0.250
29 S 0.196 0.933 0.658
30 S 0.233 0.294 0.037
31 S 0.294 0.233 0.537
32 S 0.308 0.401 0.249
33 S 0.396 0.550 0.911
34 S 0.401 0.308 0.749
35 S 0.403 0.056 0.336
36 S 0.429 0.951 0.903
37 S 0.450 0.604 0.589
38 S 0.550 0.396 0.411
39 S 0.571 0.049 0.097
40 S 0.597 0.944 0.664
41 S 0.599 0.692 0.251
42 S 0.604 0.450 0.089
43 S 0.692 0.599 0.751
44 S 0.706 0.767 0.463
45 S 0.767 0.706 0.963
46 S 0.804 0.067 0.342
47 S 0.817 0.183 0.750
48 S 0.829 0.111 0.963
49 S 0.889 0.171 0.537
50 S 0.933 0.196 0.158
51 S 0.944 0.597 0.164
52 S 0.951 0.429 0.403

First-principles (PBE-GGA) data for crystalline Sb2Pb2S at its relaxed geometry, as listed in Alexandria via LeMat-Bulk.

polymorph energy (0 for the lowest one) = 0.00 eV/f.u.
calculated volume = 323 Å³ per cell
spin magnetization = 0.000 μB/atom
ΔE_f (raw) = 0.1090 eV per atom
mass density = 7104 kg/m3

abc: 7.999 7.999 5.042
angles: 90.00 90.00 90.00
Element x y z (fractional)
1 Sb 0.122 0.378 0.000
2 Sb 0.378 0.878 0.000
3 Sb 0.622 0.122 0.000
4 Sb 0.878 0.622 0.000
5 Pb 0.201 0.701 0.500
6 Pb 0.299 0.201 0.500
7 Pb 0.701 0.799 0.500
8 Pb 0.799 0.299 0.500
9 S 0.000 0.000 0.500
10 S 0.500 0.500 0.500

First-principles (PBE-GGA) data for crystalline Sb6Pb4S13 at its relaxed geometry, as listed in Alexandria via LeMat-Bulk.

calculated volume = 1209 Å³ per cell
spin magnetization = 0.000 μB/atom
ΔE_f (raw) = -0.3437 eV per atom
mass density = 5428 kg/m3

abc: 4.041 16.817 17.895
angles: 91.85 95.51 91.60
Element x y z (fractional)
1 Sb 0.000 0.000 0.000
2 Sb 0.003 0.612 0.776
3 Sb 0.108 0.533 0.997
4 Sb 0.110 0.151 0.190
5 Sb 0.307 0.907 0.187
6 Sb 0.322 0.531 0.374
7 Sb 0.412 0.056 0.377
8 Sb 0.425 0.452 0.598
9 Sb 0.512 0.388 0.829
10 Sb 0.651 0.813 0.705
11 Sb 0.903 0.022 0.571
12 Sb 0.918 0.670 0.549
13 Pb 0.496 0.043 0.798
14 Pb 0.581 0.217 0.990
15 Pb 0.634 0.752 0.945
16 Pb 0.697 0.363 0.209
17 Pb 0.728 0.693 0.166
18 Pb 0.812 0.318 0.434
19 Pb 0.828 0.838 0.385
20 Pb 0.908 0.254 0.674
21 S 0.006 0.812 0.597
22 S 0.026 0.368 0.923
23 S 0.031 0.116 0.918
24 S 0.072 0.758 0.812
25 S 0.139 0.273 0.115
26 S 0.167 0.683 0.042
27 S 0.265 0.384 0.332
28 S 0.285 0.785 0.262
29 S 0.364 0.310 0.557
30 S 0.383 0.941 0.461
31 S 0.417 0.699 0.457
32 S 0.442 0.102 0.628
33 S 0.461 0.247 0.788
34 S 0.519 0.935 0.917
35 S 0.528 0.645 0.669
36 S 0.596 0.587 0.878
37 S 0.623 0.088 0.088
38 S 0.662 0.504 0.084
39 S 0.705 0.212 0.276
40 S 0.724 0.849 0.103
41 S 0.770 0.562 0.287
42 S 0.797 0.972 0.291
43 S 0.840 0.481 0.493
44 S 0.897 0.121 0.463
45 S 0.922 0.422 0.704
46 S 0.948 0.952 0.728

First-principles (PBE-GGA) data for crystalline SbPb3S4 at its relaxed geometry, as listed in Alexandria via LeMat-Bulk.

polymorph energy (0 for the lowest one) = 0.00 eV/f.u.
calculated volume = 211 Å³ per cell
spin magnetization = 0.000 μB/atom
ΔE_f (raw) = -0.3752 eV per atom
mass density = 6844 kg/m3

abc: 4.241 4.210 11.850
angles: 90.00 91.86 90.00
Element x y z (fractional)
1 Sb 0.000 0.000 0.000
2 Pb 0.013 0.000 0.502
3 Pb 0.494 0.500 0.254
4 Pb 0.526 0.500 0.762
5 S 0.039 0.000 0.776
6 S 0.468 0.500 0.007
7 S 0.513 0.500 0.510
8 S 0.990 0.000 0.259

First-principles (PBE-GGA) data for crystalline Sb8Pb5S17 at its relaxed geometry, as listed in Alexandria via LeMat-Bulk.

calculated volume = 1642 Å³ per cell
spin magnetization = 0.000 μB/atom
ΔE_f (raw) = -0.3535 eV per atom
mass density = 5167 kg/m3

abc: 9.050 9.050 20.979
angles: 101.45 101.45 82.25
Element x y z (fractional)
1 Sb 0.013 0.979 0.597
2 Sb 0.021 0.987 0.903
3 Sb 0.034 0.421 0.911
4 Sb 0.296 0.681 0.467
5 Sb 0.319 0.704 0.033
6 Sb 0.327 0.580 0.831
7 Sb 0.420 0.673 0.669
8 Sb 0.421 0.034 0.411
9 Sb 0.579 0.966 0.589
10 Sb 0.580 0.327 0.331
11 Sb 0.673 0.420 0.169
12 Sb 0.681 0.296 0.967
13 Sb 0.704 0.319 0.533
14 Sb 0.966 0.579 0.089
15 Sb 0.979 0.013 0.097
16 Sb 0.987 0.021 0.403
17 Pb 0.104 0.362 0.327
18 Pb 0.173 0.346 0.542
19 Pb 0.326 0.674 0.250
20 Pb 0.346 0.173 0.042
21 Pb 0.362 0.104 0.827
22 Pb 0.638 0.896 0.173
23 Pb 0.654 0.827 0.958
24 Pb 0.674 0.326 0.750
25 Pb 0.827 0.654 0.458
26 Pb 0.896 0.638 0.673
27 S 0.019 0.194 0.001
28 S 0.036 0.186 0.828
29 S 0.048 0.587 0.829
30 S 0.064 0.682 0.565
31 S 0.067 0.694 0.381
32 S 0.186 0.036 0.328
33 S 0.194 0.019 0.501
34 S 0.240 0.760 0.750
35 S 0.253 0.529 0.106
36 S 0.306 0.933 0.119
37 S 0.318 0.936 0.935
38 S 0.346 0.394 0.438
39 S 0.348 0.362 0.249
40 S 0.362 0.348 0.749
41 S 0.394 0.346 0.938
42 S 0.413 0.952 0.671
43 S 0.471 0.747 0.394
44 S 0.529 0.253 0.606
45 S 0.587 0.048 0.329
46 S 0.606 0.654 0.062
47 S 0.638 0.652 0.251
48 S 0.652 0.638 0.751
49 S 0.654 0.606 0.562
50 S 0.682 0.064 0.065
51 S 0.694 0.067 0.881
52 S 0.747 0.471 0.894
53 S 0.760 0.240 0.250
54 S 0.806 0.981 0.499
55 S 0.814 0.964 0.672
56 S 0.933 0.306 0.619
57 S 0.936 0.318 0.435
58 S 0.952 0.413 0.171
59 S 0.964 0.814 0.172
60 S 0.981 0.806 0.999

> Which of these has the highest calculated volume?

Sb8Pb5S17

> Among the records above, which one has the lowest mass density?

Sb8Pb3S15